Record 1
TlZnC3 | Alexandria via LeMat-Bulk | PBE | optimized geometry; energy of formation = 2.78 eV per atom; energy relative to the lowest polymorph listed for this composition = 0.00 eV/f.u.; E = -17.426 eV/cell
1.0
4.1136 0.0000 0.0000
0.0000 4.1136 0.0000
0.0000 0.0000 4.1136
C Tl Zn
3 1 1
direct
0.0000 0.5000 0.0000
0.0000 0.0000 0.5000
0.5000 0.0000 0.0000
0.5000 0.5000 0.5000
0.0000 0.0000 0.0000

Record 2
K2RbBr2 | Alexandria via LeMat-Bulk | PBE | optimized geometry; energy relative to the lowest polymorph listed for this composition = 0.21 eV/f.u.; ΔE_f (raw) = -1239 meV per atom; E = -12.703 eV/cell
1.0
6.1140 0.0000 0.0000
0.0000 6.1140 0.0000
3.0570 3.0570 7.1105
K Br Rb
2 2 1
direct
0.3240 0.3240 0.3521
0.6760 0.6760 0.6479
0.7500 0.2500 0.5000
0.2500 0.7500 0.5000
0.0000 0.0000 0.0000

Record 3
SrZn2Cl | Alexandria via LeMat-Bulk | PBE | optimized geometry; energy relative to the lowest polymorph listed for this composition = 0.20 eV/f.u.; ΔE_f (raw) = -689 meV per atom; E = -8.831 eV/cell
1.0
3.6513 0.0000 0.0000
0.0000 3.6511 0.0000
0.0000 0.0000 8.6940
Cl Sr Zn
1 1 2
direct
0.0000 0.0000 0.5842
0.5000 0.5000 0.7538
0.0000 0.0000 0.0354
0.5000 0.5000 0.1266

Record 4
Na2TlW | Alexandria via LeMat-Bulk | PBE | optimized geometry; energy of formation = 1.27 eV per atom; energy relative to the lowest polymorph listed for this composition = 0.12 eV/f.u.; E = -25.780 eV/cell
1.0
-0.9279 8.1364 2.4957
-3.0165 -2.6620 7.5568
0.6821 2.7171 6.0788
Na Tl W
4 2 2
direct
0.6307 0.1250 0.2500
0.1193 0.6250 0.2500
0.3750 0.3693 0.7500
0.8750 0.8807 0.7500
0.0000 0.0000 0.0000
0.7500 0.2500 0.5000
0.5000 0.5000 0.0000
0.2500 0.7500 0.5000

Record 5
BaNaV | Alexandria via LeMat-Bulk | PBE | optimized geometry; energy of formation = 0.49 eV per atom; energy relative to the lowest polymorph listed for this composition = 0.00 eV/f.u.; E = -21.807 eV/cell
1.0
3.4474 -0.0241 -0.0202
-1.6008 15.3333 -0.0448
0.9590 0.0210 3.8500
Na Ba V
2 2 2
direct
0.7439 0.5529 0.9038
0.1534 0.3671 0.4043
0.5440 0.1473 0.8981
0.3605 0.7729 0.4136
0.7864 0.9795 0.3701
0.1205 0.9407 0.9433

Record 6
FePdN2 | Alexandria via LeMat-Bulk | PBE | optimized geometry; energy relative to the lowest polymorph listed for this composition = 0.06 eV/f.u.; ΔE_f (raw) = 351 meV per atom; E = -28.902 eV/cell
1.0
1.6107 0.0000 6.1379
-0.8053 1.3949 6.1379
-0.8053 -1.3949 6.1379
Fe Pd N
1 1 2
direct
0.5000 0.5000 0.5000
0.0000 0.0000 0.0000
0.8921 0.8921 0.8921
0.1079 0.1079 0.1079

Which of these has the highest E? SrZn2Cl